Here is crystalline TiRe2Tc2 at its relaxed geometry from Alexandria via LeMat-Bulk. Energies are from PBE-GGA.

Structure (POSCAR):
```
TiRe2Tc2
1.0
7.510 0.000 0.000
0.000 7.510 0.000
0.000 0.000 2.811
Ti Re Tc
2 4 4
Direct
0.000 0.000 0.000
0.500 0.500 0.000
0.169 0.331 0.500
0.331 0.831 0.500
0.669 0.169 0.500
0.831 0.669 0.500
0.129 0.629 0.000
0.371 0.129 0.000
0.629 0.871 0.000
0.871 0.371 0.000
```

## Properties
Volume in Å³ per cell: 159
M_tot in μB per cell: 0.0
Energy above the most stable polymorph in this dataset in eV per atom: 0.000
SG: No. 127

=====

Here is crystalline Mn2PPt at its relaxed geometry from Alexandria via LeMat-Bulk. Energies are from PBE-GGA.

Structure (POSCAR):
```
Mn2PPt
1.0
3.175 0.000 0.000
0.000 3.221 0.000
0.000 0.000 5.459
Mn P Pt
2 1 1
Direct
0.000 0.000 0.229
0.000 0.000 0.771
0.500 0.500 0.000
0.500 0.500 0.500
```

## Properties
Volume in Å³ per cell: 56
M_tot in μB per cell: 6.9
SG: No. 47

=====

Here is crystalline BaSb5 at its relaxed geometry from Alexandria via LeMat-Bulk. Energies are from PBE-GGA.

Structure (POSCAR):
```
BaSb5
1.0
2.868 -7.682 0.000
2.868 7.682 0.000
0.000 0.000 4.304
Ba Sb
1 5
Direct
0.000 0.000 0.000
0.209 0.791 0.500
0.351 0.649 0.000
0.500 0.500 0.500
0.649 0.351 0.000
0.791 0.209 0.500
```

## Properties
Volume in Å³ per cell: 190
M_tot in μB per cell: 0.0
Raw formation energy in meV per atom: -233
Energy above the most stable polymorph in this dataset in eV per atom: 0.071
SG: No. 65

=====

Total energy, record by record: -10.58, -7.62, -3.99 eV/atom